# 1
The following is a PBE calculation of Ac4Bi8Rh3 after structural relaxation, from Alexandria via LeMat-Bulk.

## Properties
Its crystal system is tetragonal. As for the formation energy: -0.61 eV/atom.

Lattice parameters (Å, degrees): 4.760 4.760 20.495 90.00 90.00 90.00
Space group P-4m2 (No. 115)
Asymmetric unit:
Ac 0.000 0.500 0.115
Ac 0.000 0.500 0.618
Bi 0.000 0.000 0.249
Bi 0.000 0.500 0.429
Bi 0.000 0.500 0.936
Bi 0.500 0.500 0.249
Rh 0.000 0.000 0.000
Rh 0.000 0.000 0.500
Rh 0.500 0.500 0.500

=====

# 2
The following is a PBE calculation of CaPd12Pb3 after structural relaxation, from Alexandria via LeMat-Bulk.

## Properties
Its crystal system is tetragonal. As for the formation energy: -0.34 eV/atom.

Lattice parameters (Å, degrees): 4.118 4.118 16.403 90.00 90.00 90.00
Space group P4/mmm (No. 123)
Asymmetric unit:
Ca 0.000 0.000 0.000
Pd 0.000 0.500 0.128
Pd 0.000 0.500 0.375
Pd 0.500 0.500 0.000
Pd 0.500 0.500 0.252
Pd 0.500 0.500 0.500
Pb 0.000 0.000 0.250
Pb 0.000 0.000 0.500

=====

# 3
The following is a PBE calculation of Hf3FeP after structural relaxation, from Alexandria via LeMat-Bulk.

## Properties
Its crystal system is cubic. As for the formation energy: 0.20 eV/atom.

Lattice parameters (Å, degrees): 4.711 4.711 4.711 90.00 90.00 90.00
Space group Pm-3m (No. 221)
Asymmetric unit:
Hf 0.000 0.000 0.500
Fe 0.000 0.000 0.000
P 0.500 0.500 0.500

=====

# 4
The following is a PBE calculation of LaTbHoMg after structural relaxation, from Alexandria via LeMat-Bulk.

## Properties
Its crystal system is tetragonal. As for the formation energy: -0.02 eV/atom.

Lattice parameters (Å, degrees): 3.710 3.710 8.963 90.00 90.00 90.00
Space group P4mm (No. 99)
Asymmetric unit:
La 0.000 0.000 0.000
Tb 0.500 0.500 0.717
Ho 0.500 0.500 0.280
Mg 0.000 0.000 0.496

=====

# 5
The following is a PBE calculation of CaPu2Cu9 after structural relaxation, from Alexandria via LeMat-Bulk.

## Properties
Its crystal system is trigonal. As for the formation energy: -0.07 eV/atom.

Lattice parameters (Å, degrees): 5.1375 5.1375 25.2549 90.00 90.00 120.00
Space group R-3m (No. 166, hexagonal axes)
Asymmetric unit:
Ca 0.0000 0.0000 0.0000
Pu 0.0000 0.0000 0.1468
Cu 0.0000 0.0000 0.3321
Cu 0.0000 0.0000 0.5000
Cu 0.0027 0.5013 0.0811

=====

# 6
The following is a PBE calculation of RbGa2Ru after structural relaxation, from Alexandria via LeMat-Bulk.

## Properties
Its crystal system is cubic. As for the formation energy: 0.75 eV/atom.

Lattice parameters (Å, degrees): 7.051 7.051 7.051 90.00 90.00 90.00
Space group Fm-3m (No. 225)
Asymmetric unit:
Rb 0.000 0.000 0.000
Ga 0.250 0.250 0.250
Ru 0.000 0.000 0.500

=====

# 7
The following is a PBE calculation of YAl8Co4 after structural relaxation, from Alexandria via LeMat-Bulk.

## Properties
Its crystal system is tetragonal. As for the formation energy: -0.52 eV/atom.

Lattice parameters (Å, degrees): 8.532 8.532 5.109 90.00 90.00 90.00
Space group I4/mmm (No. 139)
Asymmetric unit:
Y 0.000 0.000 0.000
Al 0.000 0.223 0.500
Al 0.000 0.340 0.000
Co 0.250 0.250 0.250

=====

# 8
The following is a PBE calculation of In2FeHg after structural relaxation, from Alexandria via LeMat-Bulk.

## Properties
Its crystal system is tetragonal. As for the formation energy: 0.25 eV/atom.

Lattice parameters (Å, degrees): 3.103 3.103 8.816 90.00 90.00 90.00
Space group P4/mmm (No. 123)
Asymmetric unit:
In 0.000 0.000 0.199
Fe 0.500 0.500 0.000
Hg 0.500 0.500 0.500

=====

# 9
The following is a PBE calculation of PmY2TaN4 after structural relaxation, from Alexandria via LeMat-Bulk.

## Properties
Its total energy is -9.28 eV/atom. Its crystal system is monoclinic.

Lattice parameters (Å, degrees): 5.864 3.384 5.926 90.00 109.08 90.00
Space group P2/m (No. 10)
Asymmetric unit:
Pm 0.000 0.000 0.000
Y 0.500 0.000 0.500
Y 0.500 0.500 0.000
Ta 0.000 0.500 0.500
N 0.229 0.000 0.722
N 0.237 0.500 0.277

=====

# 10
The following is a PBE calculation of NaTmHgF6 after structural relaxation, from Alexandria via LeMat-Bulk.

## Properties
Its total energy is -4.82 eV/atom. Its crystal system is trigonal.

Lattice parameters (Å, degrees): 5.9790 5.9790 9.4425 90.00 90.00 120.00
Space group P-31c (No. 163)
Asymmetric unit:
Na 0.0000 0.0000 0.0000
Tm 0.3333 0.6667 0.2500
Hg 0.3333 0.6667 0.7500
F 0.0244 0.3586 0.1308

=====

# 11
The following is a PBE calculation of AcPuSb3 after structural relaxation, from Alexandria via LeMat-Bulk.

## Properties
Its total energy is -6.39 eV/atom. Its crystal system is cubic.

Lattice parameters (Å, degrees): 5.678 5.678 5.678 90.00 90.00 90.00
Space group Pm-3m (No. 221)
Asymmetric unit:
Ac 0.000 0.000 0.000
Pu 0.500 0.500 0.500
Sb 0.000 0.500 0.500

=====

# 12
The following is a PBE calculation of TlSiSe after structural relaxation, from Alexandria via LeMat-Bulk.

## Properties
Its total energy is -3.67 eV/atom. Its crystal system is tetragonal.

Lattice parameters (Å, degrees): 3.522 3.522 11.949 90.00 90.00 90.00
Space group I4mm (No. 107)
Asymmetric unit:
Tl 0.000 0.000 0.000
Si 0.000 0.000 0.692
Se 0.000 0.000 0.268

=====

# 13
The following is a PBE calculation of ScFeMo2 after structural relaxation, from Alexandria via LeMat-Bulk.

## Properties
Its crystal system is cubic. As for the formation energy: 0.07 eV/atom.

Lattice parameters (Å, degrees): 6.261 6.261 6.261 90.00 90.00 90.00
Space group F-43m (No. 216)
Asymmetric unit:
Sc 0.000 0.000 0.000
Fe 0.250 0.250 0.750
Mo 0.000 0.000 0.500
Mo 0.250 0.250 0.250

=====

# 14
The following is a PBE calculation of Sm5Ag2Hg12 after structural relaxation, from Alexandria via LeMat-Bulk.

## Properties
Its crystal system is monoclinic. As for the formation energy: -0.27 eV/atom.

Lattice parameters (Å, degrees): 15.388 8.102 7.729 90.00 94.49 90.00
Space group C2/m (No. 12)
Asymmetric unit:
Sm 0.000 0.000 0.000
Sm 0.183 0.500 0.539
Sm 0.248 0.000 0.923
Ag 0.000 0.289 0.500
Hg 0.050 0.500 0.198
Hg 0.112 0.290 0.847
Hg 0.114 0.000 0.582
Hg 0.162 0.195 0.255

=====

# 15
The following is a PBE calculation of Sc6GeTe2Se3 after structural relaxation, from Alexandria via LeMat-Bulk.

## Properties
Its total energy is -6.29 eV/atom. Its crystal system is monoclinic.

Lattice parameters (Å, degrees): 6.925 11.982 6.871 90.00 109.59 90.00
Space group C2/m (No. 12)
Asymmetric unit:
Sc 0.213 0.000 0.233
Sc 0.237 0.152 0.761
Ge 0.000 0.000 0.500
Te 0.000 0.335 0.500
Se 0.000 0.176 0.000
Se 0.000 0.500 0.000

=====

# 16
The following is a PBE calculation of TaIBrO2 after structural relaxation, from Alexandria via LeMat-Bulk.

## Properties
Its total energy is -3.84 eV/atom. Its crystal system is tetragonal.

Lattice parameters (Å, degrees): 3.989 3.989 6.646 90.00 90.00 90.00
Space group P4/mmm (No. 123)
Asymmetric unit:
Ta 0.000 0.000 0.000
I 0.500 0.500 0.000
Br 0.500 0.500 0.500
O 0.000 0.500 0.500

=====

# 17
The following is a PBE calculation of Ba8SrAu2 after structural relaxation, from Alexandria via LeMat-Bulk.

## Properties
Its crystal system is monoclinic. As for the formation energy: -0.18 eV/atom.

Lattice parameters (Å, degrees): 15.011 10.242 9.080 90.00 117.09 90.00
Space group C2/m (No. 12)
Asymmetric unit:
Ba 0.109 0.199 0.309
Ba 0.133 0.500 0.704
Ba 0.174 0.000 0.785
Sr 0.000 0.500 0.000
Au 0.186 0.500 0.401

=====

# 18
The following is a PBE calculation of LiNdZnPd after structural relaxation, from Alexandria via LeMat-Bulk.

## Properties
Its crystal system is cubic. As for the formation energy: -0.38 eV/atom.

Lattice parameters (Å, degrees): 6.911 6.911 6.911 90.00 90.00 90.00
Space group F-43m (No. 216)
Asymmetric unit:
Li 0.000 0.000 0.000
Nd 0.000 0.000 0.500
Zn 0.250 0.250 0.750
Pd 0.250 0.250 0.250

=====

# 19
The following is a PBE calculation of CaRe2Cl after structural relaxation, from Alexandria via LeMat-Bulk.

## Properties
Its total energy is -6.05 eV/atom. Its crystal system is tetragonal.

Lattice parameters (Å, degrees): 2.758 2.758 9.362 90.00 90.00 90.00
Space group P4/mmm (No. 123)
Asymmetric unit:
Ca 0.000 0.000 0.000
Re 0.500 0.500 0.266
Cl 0.000 0.000 0.500

=====

# 20
The following is a PBE calculation of SrAsPtSe2 after structural relaxation, from Alexandria via LeMat-Bulk.

## Properties
Its total energy is -4.35 eV/atom. Its crystal system is tetragonal.

Lattice parameters (Å, degrees): 5.309 5.309 4.636 90.00 90.00 90.00
Space group P4/mmm (No. 123)
Asymmetric unit:
Sr 0.000 0.000 0.000
As 0.500 0.500 0.500
Pt 0.500 0.500 0.000
Se 0.000 0.500 0.500

=====

# 21
The following is a PBE calculation of TePbSe2N after structural relaxation, from Alexandria via LeMat-Bulk.

## Properties
Its total energy is -3.33 eV/atom. Its crystal system is tetragonal.

Lattice parameters (Å, degrees): 5.596 5.596 4.235 90.00 90.00 90.00
Space group P4/mmm (No. 123)
Asymmetric unit:
Te 0.000 0.000 0.000
Pb 0.500 0.500 0.500
Se 0.000 0.500 0.500
N 0.500 0.500 0.000

=====

# 22
The following is a PBE calculation of Hf5AlIn4 after structural relaxation, from Alexandria via LeMat-Bulk.

## Properties
Its crystal system is tetragonal. As for the formation energy: -0.19 eV/atom.

Lattice parameters (Å, degrees): 3.087 3.087 22.113 90.00 90.00 90.00
Space group P4/mmm (No. 123)
Asymmetric unit:
Hf 0.000 0.000 0.000
Hf 0.000 0.000 0.203
Hf 0.000 0.000 0.411
Al 0.500 0.500 0.500
In 0.500 0.500 0.101
In 0.500 0.500 0.306

=====

# 23
The following is a PBE calculation of Tl2Bi after structural relaxation, from Alexandria via LeMat-Bulk.

## Properties
Its crystal system is cubic. As for the formation energy: 0.15 eV/atom.

Lattice parameters (Å, degrees): 9.201 9.201 9.201 90.00 90.00 90.00
Space group Fd-3m (No. 227, origin choice 2)
Asymmetric unit:
Tl 0.000 0.000 0.000
Bi 0.125 0.125 0.625

=====

# 24
The following is a PBE calculation of Zr6CO after structural relaxation, from Alexandria via LeMat-Bulk.

## Properties
Its total energy is -9.07 eV/atom. Its crystal system is trigonal.

Lattice parameters (Å, degrees): 5.7031 5.7031 10.6503 90.00 90.00 120.00
Space group P-31c (No. 163)
Asymmetric unit:
Zr 0.0132 0.3364 0.1244
C 0.3333 0.6667 0.2500
O 0.0000 0.0000 0.0000